Computed, not measured: a crystal of TaTe2PtI relaxed with PBEsol at the SCAN level of DFT.

a = 5.1815 Å, b = 5.1882 Å, c = 5.1882 Å
α = 90.00°, β = 90.00°, γ = 90.00°
Site moments in Bohr magnetons follow the coordinates.
Element x y z (fractional)
Ta 0.5000 0.5000 0.5000  2.00
Te 0.0000 0.5000 0.0000  -0.27
Te 0.0000 0.0000 0.5000  -0.27
Pt 0.0000 0.0000 0.0000  -0.07
I 0.5000 0.0000 0.0000  -0.12

Summary:
E_form (uncorrected) = 1.0059 eV per atom
Crystal system = tetragonal

***

Computed, not measured: a crystal of Ta2Ru relaxed with PBEsol at the SCAN level of DFT.

a = 5.2316 Å, b = 5.2316 Å, c = 5.2316 Å
α = 60.00°, β = 60.00°, γ = 60.00°
Element x y z (fractional)
Ta 0.6250 0.6250 0.6250
Ta 0.6250 0.6250 0.1250
Ta 0.6250 0.1250 0.6250
Ta 0.1250 0.6250 0.6250
Ru 0.0000 0.0000 0.0000
Ru 0.2500 0.2500 0.2500

Summary:
Crystal system = cubic
E_form = 0.409 eV/atom

***

Computed, not measured: a crystal of AlReSbI2 relaxed with PBEsol at the SCAN level of DFT.

a = 5.2580 Å, b = 5.2580 Å, c = 5.4716 Å
α = 90.00°, β = 90.00°, γ = 90.00°
Site moments in Bohr magnetons follow the coordinates.
Element x y z (fractional)
I 0.0000 0.5000 0.0000  0.02
I 0.5000 0.0000 0.0000  0.02
Al 0.0000 0.0000 0.0000  -0.01
Sb 0.0000 0.0000 0.5000  -0.17
Re 0.5000 0.5000 0.5000  3.67

Summary:
E_form (uncorrected) = 1.3793 eV per atom
Crystal system = tetragonal

***

What is the formula in the second record? Ta2Ru

***

What is the formula in the third record? AlReSbI2

***

Which formula does entry 3 have? AlReSbI2